Material: Fe2Ni4Rh
Method: DFT, PBE
State: optimized geometry

The structure in extended XYZ format:
```
7
Lattice="4.124 0.000 0.000 -1.743 3.968 0.000 -0.580 -1.953 5.408" Properties=species:S:1:pos:R:3 pbc="T T T"
Fe 0.159 1.485 0.815
Fe 1.642 0.530 4.594
Ni -1.161 1.008 2.704
Ni -0.369 -0.985 3.946
Ni 1.772 -0.976 2.704
Ni 2.170 3.000 1.462
Rh 2.062 0.000 0.000
```

Computed properties:
- Energy relative to the lowest polymorph listed for this composition: 0 meV/atom
- Raw total energy: -46.1 eV/cell
- E_form: 191 meV per atom

***

Material: FeNi6Rh
Method: DFT, PBE
State: optimized geometry

The structure in extended XYZ format:
```
8
Lattice="5.092 0.000 0.000 -2.546 4.410 0.000 0.000 0.000 4.117" Properties=species:S:1:pos:R:3 pbc="T T T"
Fe 0.000 0.000 0.000
Ni -1.254 2.216 0.000
Ni 0.000 1.483 2.058
Ni -1.262 3.669 2.058
Ni 1.254 2.216 0.000
Ni 0.000 4.388 0.000
Ni 1.262 3.669 2.058
Rh 2.546 1.470 2.058
```

Computed properties:
- Energy relative to the lowest polymorph listed for this composition: 0 meV/atom
- Raw total energy: -50.7 eV/cell
- E_form: -21 meV per atom

***

Material: Fe11Ni9Rh4
Method: DFT, PBE
State: optimized geometry

The structure in extended XYZ format:
```
24
Lattice="7.358 -7.661 0.000 7.358 7.661 0.000 0.000 0.000 2.574" Properties=species:S:1:pos:R:3 pbc="T T T"
Fe 0.000 0.000 0.000
Fe 3.542 2.617 0.000
Fe 7.358 5.049 0.000
Fe 3.421 0.000 0.000
Fe 7.358 2.427 0.000
Fe 3.542 -2.617 0.000
Fe 11.174 2.617 0.000
Fe 7.358 -2.427 0.000
Fe 11.295 0.000 0.000
Fe 7.358 -5.049 0.000
Fe 11.174 -2.617 0.000
Ni 1.741 1.304 1.287
Ni 5.571 3.837 1.287
Ni 1.741 -1.304 1.287
Ni 9.145 3.837 1.287
Ni 7.358 0.000 1.287
Ni 5.571 -3.837 1.287
Ni 12.975 1.304 1.287
Ni 9.145 -3.837 1.287
Ni 12.975 -1.304 1.287
Rh 5.289 1.317 1.287
Rh 5.289 -1.317 1.287
Rh 9.427 1.317 1.287
Rh 9.427 -1.317 1.287
```

Computed properties:
- Raw total energy: -174.0 eV/cell
- E_form: 21 meV per atom

***

Material: Fe3NiRh4
Method: DFT, PBE
State: optimized geometry

The structure in extended XYZ format:
```
8
Lattice="3.038 0.000 0.000 0.000 4.228 0.000 0.000 0.000 8.419" Properties=species:S:1:pos:R:3 pbc="T T T"
Fe 0.000 0.000 0.000
Fe 0.000 2.114 2.164
Fe 0.000 2.114 6.255
Ni 0.000 0.000 4.209
Rh 1.519 0.000 2.084
Rh 1.519 0.000 6.335
Rh 1.519 2.114 0.000
Rh 1.519 2.114 4.209
```

Computed properties:
- Raw total energy: -60.7 eV/cell
- E_form: -12 meV per atom

***

Material: Fe6Ni5Rh
Method: DFT, PBE
State: optimized geometry

The structure in extended XYZ format:
```
12
Lattice="1.804 -5.415 0.000 1.804 5.415 0.000 0.000 0.000 7.176" Properties=species:S:1:pos:R:3 pbc="T T T"
Fe 0.000 0.000 1.748
Fe 0.000 0.000 5.428
Fe 1.804 1.830 1.768
Fe 1.804 1.830 5.408
Fe 1.804 -1.830 1.768
Fe 1.804 -1.830 5.408
Ni 1.804 3.610 0.000
Ni 1.804 3.565 3.588
Ni 1.804 0.000 0.000
Ni 1.804 -3.565 3.588
Ni 1.804 -3.610 0.000
Rh 1.804 0.000 3.588
```

Computed properties:
- Raw total energy: -87.7 eV/cell
- E_form: -53 meV per atom

***

Material: Fe3Ni2RuRh6
Method: DFT, PBE
State: optimized geometry

The structure in extended XYZ format:
```
12
Lattice="2.316 -4.010 0.000 2.316 4.010 0.000 -1.543 0.000 8.563" Properties=species:S:1:pos:R:3 pbc="T T T"
Fe 0.000 0.000 0.000
Fe 2.316 1.324 0.000
Fe 2.316 -1.324 0.000
Ni 1.545 2.672 4.282
Ni 1.545 -2.672 4.282
Ru 1.545 0.000 4.282
Rh 0.773 1.336 2.109
Rh 0.001 0.000 6.442
Rh 0.773 -1.336 2.109
Rh 2.317 1.336 6.454
Rh 3.089 0.000 2.121
Rh 2.317 -1.336 6.454
```

Computed properties:
- Raw total energy: -89.9 eV/cell
- E_form: 35 meV per atom

***

Material: FeNiRuRh
Method: DFT, PBE
State: optimized geometry

The structure in extended XYZ format:
```
4
Lattice="0.000 2.951 2.951 2.951 0.000 2.951 2.951 2.951 0.000" Properties=species:S:1:pos:R:3 pbc="T T T"
Fe 0.000 0.000 0.000
Ni 2.951 2.951 2.951
Ru 4.426 4.426 4.426
Rh 1.475 1.475 1.475
```

Computed properties:
- Raw total energy: -30.4 eV/cell
- E_form: 120 meV per atom

***

Material: Fe2NiRhSe6
Method: DFT, PBE
State: optimized geometry

The structure in extended XYZ format:
```
20
Lattice="5.211 -5.874 0.000 5.211 5.874 0.000 -2.079 0.000 6.007" Properties=species:S:1:pos:R:3 pbc="T T T"
Fe 0.780 1.069 1.337
Fe -0.260 -1.069 4.341
Fe 8.602 1.069 1.667
Fe 7.562 -1.069 4.670
Ni 4.691 2.751 1.502
Ni 3.651 -2.751 4.506
Rh 3.651 0.955 4.506
Rh 4.691 -0.955 1.502
Se 3.335 4.670 2.515
Se 1.935 2.567 5.210
Se 6.047 4.670 0.489
Se 3.094 0.945 2.065
Se 5.368 2.567 3.801
Se 2.055 -0.945 5.069
Se 6.288 0.945 0.939
Se 2.974 -2.567 2.206
Se 5.248 -0.945 3.942
Se 2.295 -4.670 5.519
Se 6.408 -2.567 0.797
Se 5.007 -4.670 3.492
```

Computed properties:
- Raw total energy: -106.6 eV/cell
- E_form (uncorrected): -0.24 eV per atom

***

Copy entry 1 word for word.
Material: Fe2Ni4Rh
Method: DFT, PBE
State: optimized geometry

The structure in extended XYZ format:
```
7
Lattice="4.124 0.000 0.000 -1.743 3.968 0.000 -0.580 -1.953 5.408" Properties=species:S:1:pos:R:3 pbc="T T T"
Fe 0.159 1.485 0.815
Fe 1.642 0.530 4.594
Ni -1.161 1.008 2.704
Ni -0.369 -0.985 3.946
Ni 1.772 -0.976 2.704
Ni 2.170 3.000 1.462
Rh 2.062 0.000 0.000
```

Computed properties:
- Energy relative to the lowest polymorph listed for this composition: 0 meV/atom
- Raw total energy: -46.1 eV/cell
- E_form: 191 meV per atom

***

What did the fifth record say?
Material: Fe6Ni5Rh
Method: DFT, PBE
State: optimized geometry

The structure in extended XYZ format:
```
12
Lattice="1.804 -5.415 0.000 1.804 5.415 0.000 0.000 0.000 7.176" Properties=species:S:1:pos:R:3 pbc="T T T"
Fe 0.000 0.000 1.748
Fe 0.000 0.000 5.428
Fe 1.804 1.830 1.768
Fe 1.804 1.830 5.408
Fe 1.804 -1.830 1.768
Fe 1.804 -1.830 5.408
Ni 1.804 3.610 0.000
Ni 1.804 3.565 3.588
Ni 1.804 0.000 0.000
Ni 1.804 -3.565 3.588
Ni 1.804 -3.610 0.000
Rh 1.804 0.000 3.588
```

Computed properties:
- Raw total energy: -87.7 eV/cell
- E_form: -53 meV per atom

***

Q: raw total energy of number 5 (Fe6Ni5Rh)?
A: -87.7 eV/cell

***

Q: Among the records above, which one has the highest raw total energy?
A: FeNiRuRh